[1]
First-principles (PBEsol) data for a geometry-optimized CuNi2B2 structure, as listed in the Alexandria database.

Properties
- DFT formation energy (eV/atom) = -0.20
- total DFT energy (no corrections) (eV/atom) = -6.33
- M_tot (μB per cell) = 0.00

Unit cell a=5.5842 b=5.5842 c=2.6893 alpha=90.00 beta=90.00 gamma=90.00
Space group P4/mbm (No. 127)
Asymmetric unit:
Cu 0.0000 0.0000 0.0000 (multiplicity 2)
Ni 0.1638 0.3362 0.5000 (multiplicity 4)
B 0.1206 0.6206 0.0000 (multiplicity 4)



[2]
First-principles (PBEsol) data for a geometry-optimized CsNaTe structure, as listed in the Alexandria database.

Properties
- ΔE_f (raw) (eV per atom) = -1.02
- total DFT energy (no corrections) (eV/atom) = -2.97
- M_tot (μB per cell) = 0.00

Unit cell a=5.2376 b=5.2376 c=8.5354 alpha=90.00 beta=90.00 gamma=90.00
Space group P4/nmm (No. 129, origin choice 2)
Asymmetric unit:
Cs 0.2500 0.2500 0.1557 (multiplicity 2)
Na 0.2500 0.7500 0.5000 (multiplicity 2)
Te 0.2500 0.2500 0.7043 (multiplicity 2)



[3]
First-principles (PBEsol) data for a geometry-optimized Hg2SbAu structure, as listed in the Alexandria database.

Properties
- ΔE_f (raw) (eV per atom) = 0.04
- total DFT energy (no corrections) (eV/atom) = -2.37
- M_tot (μB per cell) = 0.00

Unit cell a=3.7909 b=4.3121 c=5.8049 alpha=90.00 beta=90.00 gamma=90.00
Space group Pmmm (No. 47)
Asymmetric unit:
Hg 0.0000 0.0000 0.0000 (multiplicity 1)
Hg 0.5000 0.5000 0.0000 (multiplicity 1)
Sb 0.0000 0.0000 0.5000 (multiplicity 1)
Au 0.5000 0.5000 0.5000 (multiplicity 1)



[4]
First-principles (PBEsol) data for a geometry-optimized SrTlHg2 structure, as listed in the Alexandria database.

Properties
- E above lowest polymorph (meV per atom) = 120
- DFT formation energy (eV/atom) = -0.31
- total DFT energy (no corrections) (eV/atom) = -1.71
- M_tot (μB per cell) = 0.00

Unit cell a=3.8238 b=3.8238 c=7.3857 alpha=90.00 beta=90.00 gamma=90.00
Space group P4mm (No. 99)
Asymmetric unit:
Sr 0.0000 0.0000 0.0000 (multiplicity 1)
Tl 0.5000 0.5000 0.3026 (multiplicity 1)
Hg 0.0000 0.0000 0.5242 (multiplicity 1)
Hg 0.5000 0.5000 0.7394 (multiplicity 1)



[5]
First-principles (PBEsol) data for a geometry-optimized YZrCu2 structure, as listed in the Alexandria database.

Properties
- E above lowest polymorph (meV per atom) = 0
- DFT formation energy (eV/atom) = -0.14
- total DFT energy (no corrections) (eV/atom) = -6.29
- M_tot (μB per cell) = 0.33

Unit cell a=3.3290 b=3.3290 c=6.6233 alpha=90.00 beta=90.00 gamma=90.00
Space group P4/mmm (No. 123)
Asymmetric unit:
Y 0.0000 0.0000 0.0000 (multiplicity 1)
Zr 0.0000 0.0000 0.5000 (multiplicity 1)
Cu 0.5000 0.5000 0.2829 (multiplicity 2)



[6]
First-principles (PBEsol) data for a geometry-optimized YAg2Au structure, as listed in the Alexandria database.

Properties
- E above lowest polymorph (meV per atom) = 39
- DFT formation energy (eV/atom) = -0.39
- total DFT energy (no corrections) (eV/atom) = -4.73
- M_tot (μB per cell) = 0.00

Unit cell a=3.5187 b=3.5187 c=6.3122 alpha=90.00 beta=90.00 gamma=90.00
Space group P4mm (No. 99)
Asymmetric unit:
Y 0.0000 0.0000 0.0000 (multiplicity 1)
Ag 0.0000 0.0000 0.5056 (multiplicity 1)
Ag 0.5000 0.5000 0.2917 (multiplicity 1)
Au 0.5000 0.5000 0.7455 (multiplicity 1)